1.
Material: ScNiP2
Method: DFT, PBE-GGA
State: optimized geometry

a b c (Å): 3.801 5.413 6.030
angles (deg): 90.00 90.00 90.00
Element x y z (fractional)
Sc1 0.000 0.000 0.000
Sc2 0.500 0.500 0.500
Ni1 0.000 0.000 0.500
Ni2 0.500 0.500 0.000
P1 0.000 0.500 0.192
P2 0.000 0.500 0.808
P3 0.500 0.000 0.308
P4 0.500 0.000 0.692

Results
**Formation energy from the elements**: -2.62 eV/f.u.
**Total magnetic moment**: 0.0 μB/f.u.
**DFT total energy**: -6.387 eV per atom

2.
Material: ScNiP
Method: DFT, PBE-GGA
State: optimized geometry

a b c (Å): 8.051 3.889 6.397
angles (deg): 90.00 90.00 90.00
Element x y z (fractional)
Sc1 0.192 0.250 0.016
Sc2 0.308 0.750 0.516
Sc3 0.692 0.250 0.484
Sc4 0.808 0.750 0.984
Ni1 0.048 0.250 0.402
Ni2 0.452 0.750 0.902
Ni3 0.548 0.250 0.098
Ni4 0.952 0.750 0.598
P1 0.059 0.750 0.249
P2 0.441 0.250 0.749
P3 0.559 0.750 0.251
P4 0.941 0.250 0.751

Results
**Formation energy from the elements**: -2.75 eV/f.u.
**Total magnetic moment**: 0.0 μB/f.u.
**DFT total energy**: -6.759 eV per atom